Entry 1:
Compound: ZrFeSbTe2
Source: Alexandria via LeMat-Bulk
Functional: meta-GGA SCAN
Structure: single point on PBEsol structure

Computed properties:
Raw formation energy = 0.4347 eV per atom
V = 23.66 Å³ per atom
Calculated total energy = -31.6836 eV per atom
Size of the total moment = 2.269 μB/f.u.

Unit cell a=4.662 b=5.037 c=5.037 alpha=90.00 beta=90.00 gamma=90.00
Atoms (fractional coordinates):
Zr  0.500  0.500  0.500
Sb  0.500  0.000  0.000
Fe  0.000  0.000  0.000
Te  0.000  0.500  0.000
Te  0.000  0.000  0.500

---

Entry 2:
Compound: Sr3Cl
Source: Alexandria via LeMat-Bulk
Functional: meta-GGA SCAN
Structure: single point on PBEsol structure

Computed properties:
Raw formation energy = -0.7119 eV per atom
V = 50.76 Å³ per atom
Calculated total energy = -19.4128 eV per atom
Size of the total moment = 0.227 μB/f.u.

Unit cell a=4.214 b=6.572 c=7.331 alpha=90.00 beta=90.00 gamma=90.00
Atoms (fractional coordinates):
Cl  0.000  0.000  0.178
Sr  0.500  0.000  0.444
Sr  0.000  0.500  0.274
Sr  0.500  0.500  0.770

---

Entry 3:
Compound: TiNbFe4
Source: Alexandria via LeMat-Bulk
Functional: meta-GGA SCAN
Structure: single point on PBEsol structure

Computed properties:
V = 12.09 Å³ per atom
Calculated total energy = -20.3618 eV per atom
Size of the total moment = 0.960 μB/f.u.
ΔH_f (0 K) = -8 kJ per mole of atoms

Unit cell a=4.667 b=4.667 c=7.693 alpha=90.00 beta=90.00 gamma=120.00
Atoms (fractional coordinates):
Fe  0.829  0.171  0.248
Fe  0.829  0.659  0.248
Fe  0.000  0.000  0.500
Fe  0.000  0.000  0.000
Fe  0.171  0.341  0.752
Nb  0.667  0.333  0.571
Fe  0.341  0.171  0.248
Nb  0.333  0.667  0.429
Ti  0.667  0.333  0.940
Ti  0.333  0.667  0.060
Fe  0.659  0.829  0.752
Fe  0.171  0.829  0.752

---

Entry 4:
Compound: FeNi2Ir
Source: Alexandria via LeMat-Bulk
Functional: meta-GGA SCAN
Structure: single point on PBEsol structure

Computed properties:
V = 11.69 Å³ per atom
Calculated total energy = -30.5009 eV per atom
Size of the total moment = 5.062 μB/f.u.
ΔH_f (0 K) = -10 kJ per mole of atoms

Unit cell a=2.583 b=4.121 c=4.393 alpha=90.00 beta=90.00 gamma=90.00
Atoms (fractional coordinates):
Ni  0.000  0.000  0.038
Ir  0.500  0.500  0.205
Ni  0.000  0.500  0.711
Fe  0.500  0.000  0.545

---

Entry 5:
Compound: SrCaCu2F
Source: Alexandria via LeMat-Bulk
Functional: meta-GGA SCAN
Structure: single point on PBEsol structure

Computed properties:
Raw formation energy = -0.5536 eV per atom
V = 26.49 Å³ per atom
Calculated total energy = -13.7291 eV per atom
Size of the total moment = 0.000 μB/f.u.

Unit cell a=4.412 b=5.479 c=5.479 alpha=90.00 beta=90.00 gamma=90.00
Atoms (fractional coordinates):
Ca  0.500  0.500  0.500
Cu  0.000  0.000  0.500
Sr  0.000  0.000  0.000
F  0.500  0.000  0.000
Cu  0.000  0.500  0.000

---

Entry 6:
Compound: CrNi2Ru
Source: Alexandria via LeMat-Bulk
Functional: meta-GGA SCAN
Structure: single point on PBEsol structure

Computed properties:
V = 11.33 Å³ per atom
Calculated total energy = -21.3519 eV per atom
Size of the total moment = 2.174 μB/f.u.
ΔH_f (0 K) = 4 kJ per mole of atoms

Unit cell a=3.498 b=3.498 c=4.453 alpha=113.13 beta=113.13 gamma=90.00
Atoms (fractional coordinates):
Ni  0.250  0.750  0.500
Ni  0.750  0.250  0.500
Ru  0.000  0.000  0.000
Cr  0.500  0.500  0.000

---

Entry 7:
Compound: Be2InFe
Source: Alexandria via LeMat-Bulk
Functional: meta-GGA SCAN
Structure: single point on PBEsol structure

Computed properties:
V = 11.69 Å³ per atom
Calculated total energy = -14.8610 eV per atom
Size of the total moment = 1.071 μB/f.u.
ΔH_f (0 K) = 19 kJ per mole of atoms

Unit cell a=3.484 b=3.460 c=4.591 alpha=112.14 beta=112.30 gamma=90.00
Atoms (fractional coordinates):
Be  0.749  0.249  0.498
Be  0.000  0.000  0.000
In  0.250  0.750  0.501
Fe  0.501  0.501  0.002

---

Entry 8:
Compound: CeH2
Source: Alexandria via LeMat-Bulk
Functional: meta-GGA SCAN
Structure: single point on PBEsol structure

Computed properties:
V = 12.82 Å³ per atom
Calculated total energy = -17.7338 eV per atom
Size of the total moment = 0.908 μB/f.u.

Unit cell a=3.789 b=3.789 c=3.789 alpha=60.00 beta=60.00 gamma=60.00
Atoms (fractional coordinates):
H  0.250  0.250  0.250
Ce  0.000  0.000  0.000
H  0.750  0.750  0.750

---

Entry 9:
Compound: AlPt2RhBr
Source: Alexandria via LeMat-Bulk
Functional: meta-GGA SCAN
Structure: single point on PBEsol structure

Computed properties:
Raw formation energy = 0.8781 eV per atom
V = 21.53 Å³ per atom
Calculated total energy = -39.3957 eV per atom
Size of the total moment = 1.292 μB/f.u.

Unit cell a=4.659 b=4.807 c=4.807 alpha=90.00 beta=90.00 gamma=90.00
Atoms (fractional coordinates):
Br  0.500  0.500  0.500
Rh  0.000  0.000  0.000
Pt  0.000  0.000  0.500
Al  0.500  0.000  0.000
Pt  0.000  0.500  0.000

---

Entry 10:
Compound: RuRh
Source: Alexandria via LeMat-Bulk
Functional: meta-GGA SCAN
Structure: single point on PBEsol structure

Computed properties:
V = 13.39 Å³ per atom
Calculated total energy = -34.3058 eV per atom
Size of the total moment = 0.000 μB/f.u.
ΔH_f (0 K) = -1 kJ per mole of atoms

Unit cell a=2.689 b=2.689 c=8.550 alpha=90.00 beta=90.00 gamma=120.00
Atoms (fractional coordinates):
Ru  0.667  0.333  0.621
Rh  0.667  0.333  0.130
Ru  0.333  0.667  0.379
Rh  0.333  0.667  0.870

---

Entry 11:
Compound: RbBi2Pd
Source: Alexandria via LeMat-Bulk
Functional: meta-GGA SCAN
Structure: single point on PBEsol structure

Computed properties:
V = 40.46 Å³ per atom
Energy relative to the lowest polymorph listed for this composition = 0 meV per atom
Calculated total energy = -52.7439 eV per atom
Size of the total moment = 0.000 μB/f.u.
ΔH_f (0 K) = -7 kJ per mole of atoms

Unit cell a=5.987 b=5.987 c=9.973 alpha=107.47 beta=107.47 gamma=90.00
Atoms (fractional coordinates):
Pd  0.000  0.000  0.000
Bi  0.125  0.875  0.250
Bi  0.125  0.875  0.750
Bi  0.625  0.875  0.750
Rb  0.500  0.500  0.000
Bi  0.125  0.375  0.250
Pd  0.250  0.750  0.500
Rb  0.750  0.250  0.500

---

Entry 12:
Compound: Te2IrIN
Source: Alexandria via LeMat-Bulk
Functional: meta-GGA SCAN
Structure: single point on PBEsol structure

Computed properties:
Raw formation energy = 2.0360 eV per atom
V = 23.64 Å³ per atom
Calculated total energy = -36.2909 eV per atom
Size of the total moment = 0.000 μB/f.u.

Unit cell a=3.764 b=5.604 c=5.604 alpha=90.00 beta=90.00 gamma=90.00
Atoms (fractional coordinates):
I  0.000  0.000  0.000
Te  0.000  0.000  0.500
N  0.500  0.000  0.000
Ir  0.500  0.500  0.500
Te  0.000  0.500  0.000

---

Entry 13:
Compound: CsZn2Bi2
Source: Alexandria via LeMat-Bulk
Functional: meta-GGA SCAN
Structure: single point on PBEsol structure

Computed properties:
V = 28.67 Å³ per atom
Calculated total energy = -44.5437 eV per atom
Size of the total moment = 0.000 μB/f.u.
ΔH_f (0 K) = -14 kJ per mole of atoms

Unit cell a=4.895 b=4.895 c=6.911 alpha=110.74 beta=110.74 gamma=90.00
Atoms (fractional coordinates):
Bi  0.750  0.250  0.500
Bi  0.250  0.750  0.500
Cs  0.000  0.000  0.000
Zn  0.604  0.604  0.209
Zn  0.396  0.396  0.791

---

Entry 14:
Compound: FeCuSi2
Source: Alexandria via LeMat-Bulk
Functional: meta-GGA SCAN
Structure: single point on PBEsol structure

Computed properties:
Raw formation energy = 0.0561 eV per atom
V = 11.47 Å³ per atom
Calculated total energy = -13.2840 eV per atom
Size of the total moment = 0.000 μB/f.u.

Unit cell a=2.617 b=2.617 c=6.699 alpha=90.00 beta=90.00 gamma=89.99
Atoms (fractional coordinates):
Si  0.000  0.000  0.221
Cu  0.500  0.500  0.500
Si  0.000  0.000  0.779
Fe  0.500  0.500  0.000

---

Entry 15:
Compound: Y2MgIn
Source: Alexandria via LeMat-Bulk
Functional: meta-GGA SCAN
Structure: single point on PBEsol structure

Computed properties:
V = 25.83 Å³ per atom
Calculated total energy = -23.9270 eV per atom
Size of the total moment = 0.332 μB/f.u.
ΔH_f (0 K) = -40 kJ per mole of atoms

Unit cell a=3.449 b=4.363 c=6.867 alpha=90.00 beta=90.00 gamma=90.00
Atoms (fractional coordinates):
Y  0.000  0.000  0.244
Y  0.000  0.000  0.756
In  0.500  0.500  0.000
Mg  0.500  0.500  0.500

---

Entry 16:
Compound: ZnCrCo
Source: Alexandria via LeMat-Bulk
Functional: meta-GGA SCAN
Structure: single point on PBEsol structure

Computed properties:
V = 13.57 Å³ per atom
Energy relative to the lowest polymorph listed for this composition = 566 meV per atom
Calculated total energy = -15.6980 eV per atom
Size of the total moment = 0.969 μB/f.u.
ΔH_f (0 K) = 68 kJ per mole of atoms

Unit cell a=3.861 b=3.861 c=3.861 alpha=60.00 beta=60.00 gamma=60.00
Atoms (fractional coordinates):
Zn  0.000  0.000  0.000
Cr  0.250  0.250  0.250
Co  0.500  0.500  0.500

---

Entry 17:
Compound: OsRuRh2
Source: Alexandria via LeMat-Bulk
Functional: meta-GGA SCAN
Structure: single point on PBEsol structure

Computed properties:
V = 13.52 Å³ per atom
Energy relative to the lowest polymorph listed for this composition = 45 meV per atom
Calculated total energy = -43.4754 eV per atom
Size of the total moment = 0.000 μB/f.u.
ΔH_f (0 K) = 8 kJ per mole of atoms

Unit cell a=2.656 b=4.664 c=4.664 alpha=110.59 beta=90.00 gamma=90.00
Atoms (fractional coordinates):
Rh  0.000  0.500  0.000
Ru  0.500  0.000  0.000
Rh  0.000  0.000  0.500
Os  0.500  0.500  0.500

---

Entry 18:
Compound: HfZr3Br
Source: Alexandria via LeMat-Bulk
Functional: meta-GGA SCAN
Structure: single point on PBEsol structure

Computed properties:
Raw formation energy = 0.2851 eV per atom
V = 23.62 Å³ per atom
Calculated total energy = -34.5607 eV per atom
Size of the total moment = 0.000 μB/f.u.

Unit cell a=4.906 b=4.906 c=4.906 alpha=90.00 beta=90.00 gamma=90.00
Atoms (fractional coordinates):
Zr  0.000  0.000  0.500
Zr  0.000  0.500  0.000
Hf  0.500  0.500  0.500
Br  0.000  0.000  0.000
Zr  0.500  0.000  0.000

---

Entry 19:
Compound: CdInOs2
Source: Alexandria via LeMat-Bulk
Functional: meta-GGA SCAN
Structure: single point on PBEsol structure

Computed properties:
V = 16.54 Å³ per atom
Calculated total energy = -51.1231 eV per atom
Size of the total moment = 1.322 μB/f.u.
ΔH_f (0 K) = 74 kJ per mole of atoms

Unit cell a=2.829 b=2.829 c=9.287 alpha=90.00 beta=90.00 gamma=117.10
Atoms (fractional coordinates):
In  0.500  0.500  0.000
Os  0.000  0.000  0.755
Os  0.000  0.000  0.245
Cd  0.500  0.500  0.500

---

Entry 20:
Compound: Fe3HIr
Source: Alexandria via LeMat-Bulk
Functional: meta-GGA SCAN
Structure: single point on PBEsol structure

Computed properties:
V = 9.10 Å³ per atom
Calculated total energy = -25.7331 eV per atom
Size of the total moment = 7.263 μB/f.u.

Unit cell a=3.570 b=3.570 c=3.570 alpha=90.00 beta=90.00 gamma=90.00
Atoms (fractional coordinates):
Ir  0.500  0.500  0.500
Fe  0.000  0.500  0.000
H  0.000  0.000  0.000
Fe  0.000  0.000  0.500
Fe  0.500  0.000  0.000